This record from the Alexandria database describes AcMgPb3 after structural relaxation. The functional is PBE.

Calculated values
- formation enthalpy at 0 K (eV per atom) = -0.17
- E above lowest polymorph (meV/atom) = 24

Cell: 4.7971 4.8426 14.5060 Å, 99.61 90.00 90.00°
Element x y z (fractional)
Pb1 0.5000 0.5578 0.1156
Pb2 0.0000 0.7174 0.4349
Pb3 0.0000 0.2826 0.5651
Pb4 0.0000 0.9410 0.8820
Pb5 0.0000 0.0590 0.1180
Pb6 0.5000 0.4422 0.8844
Mg1 0.0000 0.6194 0.2388
Mg2 0.0000 0.3806 0.7612
Ac1 0.5000 0.8240 0.6480
Ac2 0.5000 0.1760 0.3520

=====

This record from the Alexandria database describes Rb3In5Ga2 after structural relaxation. The functional is PBE.

Calculated values
- formation enthalpy at 0 K (eV per atom) = -0.04

Cell: 7.6270 10.3491 10.3491 Å, 67.72 68.38 68.38°
Element x y z (fractional)
In1 0.7500 0.5000 0.5000
In2 0.3817 0.7611 0.4756
In3 0.4900 0.2600 0.2600
In4 0.9900 0.2600 0.2600
In5 0.6183 0.2389 0.5244
In6 0.0100 0.7400 0.7400
In7 0.1183 0.5244 0.2389
In8 0.2500 0.5000 0.5000
In9 0.5100 0.7400 0.7400
In10 0.8817 0.4756 0.7611
Rb1 0.6267 0.6212 0.1253
Rb2 0.3733 0.3788 0.8747
Rb3 0.7500 0.0000 0.0000
Rb4 0.8733 0.8747 0.3788
Rb5 0.2500 0.0000 0.0000
Rb6 0.1267 0.1253 0.6212
Ga1 0.3317 0.0400 0.2967
Ga2 0.1683 0.7033 0.9600
Ga3 0.8317 0.2967 0.0400
Ga4 0.6683 0.9600 0.7033

=====

This record from the Alexandria database describes Mn2Au after structural relaxation. The functional is PBE.

Calculated values
- formation enthalpy at 0 K (eV per atom) = 0.59

Cell: 4.8573 4.8573 4.8573 Å, 106.95 106.95 114.64°
Element x y z (fractional)
Au1 0.7500 0.7500 0.0000
Au2 0.2500 0.2500 0.0000
Mn1 0.6152 0.8848 0.5000
Mn2 0.3848 0.1152 0.5000
Mn3 0.1152 0.6152 0.7305
Mn4 0.8848 0.3848 0.2695

=====

This record from the Alexandria database describes InFe2Pd9 after structural relaxation. The functional is PBE.

Calculated values
- formation enthalpy at 0 K (eV per atom) = -0.21

Cell: 3.9470 3.9470 11.7863 Å, 90.00 90.00 90.00°
Element x y z (fractional)
Pd1 0.5000 0.0000 0.1777
Pd2 0.0000 0.5000 0.8223
Pd3 0.5000 0.0000 0.5000
Pd4 0.5000 0.0000 0.8223
Pd5 0.0000 0.5000 0.5000
Pd6 0.0000 0.5000 0.1777
Pd7 0.5000 0.5000 0.0000
Pd8 0.5000 0.5000 0.6613
Pd9 0.5000 0.5000 0.3387
Fe1 0.0000 0.0000 0.6644
Fe2 0.0000 0.0000 0.3356
In1 0.0000 0.0000 0.0000

=====

This record from the Alexandria database describes Cs2KBaBr6 after structural relaxation. The functional is PBE.

Calculated values
- energy relative to the elements, uncorrected (eV/atom) = -1.574

Cell: 8.9291 8.9291 8.9294 Å, 60.00 60.00 90.00°
Element x y z (fractional)
Cs1 0.7500 0.2500 0.5000
Cs2 0.2500 0.7500 0.5000
Ba1 0.0000 0.0000 0.0000
Br1 0.7498 0.2502 0.0000
Br2 0.2502 0.7498 0.0000
Br3 0.2502 0.2502 0.4995
Br4 0.7498 0.7498 0.0000
Br5 0.2502 0.2502 0.0000
Br6 0.7498 0.7498 0.5005
K1 0.5000 0.5000 0.0000

=====

This record from the Alexandria database describes PIr2Pb after structural relaxation. The functional is PBE.

Calculated values
- formation enthalpy at 0 K (eV per atom) = 0.70
- E above lowest polymorph (meV/atom) = 760

Cell: 5.4521 5.4521 3.0102 Å, 73.68 73.68 114.63°
Element x y z (fractional)
Pb1 0.0000 0.5000 0.5000
Ir1 0.0000 0.0000 0.0000
Ir2 0.5000 0.5000 0.0000
P1 0.5000 0.0000 0.5000

=====

This record from the Alexandria database describes Cs3SiAg after structural relaxation. The functional is PBE.

Calculated values
- energy relative to the elements, uncorrected (eV/atom) = 0.410
- E above lowest polymorph (meV/atom) = 0

Cell: 6.9621 6.9621 6.9621 Å, 90.00 90.00 90.00°
Element x y z (fractional)
Ag1 0.5000 0.5000 0.5000
Cs1 0.5000 0.0000 0.0000
Cs2 0.0000 0.5000 0.0000
Cs3 0.0000 0.0000 0.5000
Si1 0.0000 0.0000 0.0000

=====

This record from the Alexandria database describes AcSc2PtO8 after structural relaxation. The functional is PBE.

Calculated values
- energy relative to the elements, uncorrected (eV/atom) = -2.125

Cell: 4.8516 4.8448 6.9519 Å, 90.01 90.01 90.06°
Element x y z (fractional)
O1 0.8026 0.1999 0.2042
O2 0.3408 0.3394 0.5000
O3 0.1976 0.8002 0.2042
O4 0.7075 0.7097 0.0000
O5 0.8024 0.1998 0.7958
O6 0.6592 0.6606 0.5000
O7 0.1974 0.8001 0.7958
O8 0.2925 0.2903 0.0000
Sc1 0.5000 0.5000 0.7692
Sc2 0.5000 0.5000 0.2308
Pt1 0.0000 0.0000 0.0000
Ac1 0.0000 0.0000 0.5000

=====

This record from the Alexandria database describes CrBiCl3 after structural relaxation. The functional is PBE.

Calculated values
- energy relative to the elements, uncorrected (eV/atom) = -0.033
- E above lowest polymorph (meV/atom) = 0

Cell: 5.5235 5.5235 5.5235 Å, 90.00 90.00 90.00°
Element x y z (fractional)
Cl1 0.0000 0.0000 0.5000
Cl2 0.5000 0.0000 0.0000
Cl3 0.0000 0.5000 0.0000
Cr1 0.5000 0.5000 0.5000
Bi1 0.0000 0.0000 0.0000

=====

This record from the Alexandria database describes Ba2GdSb after structural relaxation. The functional is PBE.

Calculated values
- energy relative to the elements, uncorrected (eV/atom) = -0.078

Cell: 4.6690 4.6690 12.3100 Å, 79.07 79.07 60.00°
Element x y z (fractional)
Gd1 0.0000 0.0000 0.0000
Sb1 0.5000 0.5000 0.5000
Ba1 0.1116 0.1116 0.6653
Ba2 0.8884 0.8884 0.3347

=====

This record from the Alexandria database describes Y5Cd4In after structural relaxation. The functional is PBE.

Calculated values
- formation enthalpy at 0 K (eV per atom) = -0.39

Cell: 3.7548 3.7548 18.7665 Å, 90.00 90.00 90.00°
Element x y z (fractional)
In1 0.0000 0.0000 0.0000
Y1 0.5000 0.5000 0.5000
Y2 0.5000 0.5000 0.1017
Y3 0.5000 0.5000 0.8983
Y4 0.5000 0.5000 0.3001
Y5 0.5000 0.5000 0.6999
Cd1 0.0000 0.0000 0.3996
Cd2 0.0000 0.0000 0.6004
Cd3 0.0000 0.0000 0.7982
Cd4 0.0000 0.0000 0.2018

=====

This record from the Alexandria database describes BaPu2AgSe5 after structural relaxation. The functional is PBE.

Calculated values
- energy relative to the elements, uncorrected (eV/atom) = -1.275

Cell: 7.9513 7.9513 9.4065 Å, 115.00 115.00 90.00°
Element x y z (fractional)
Se1 0.0000 0.0000 0.0000
Se2 0.7200 0.2200 0.7524
Se3 0.4677 0.2800 0.2476
Se4 0.7800 0.9677 0.2476
Se5 0.9677 0.4677 0.2476
Se6 0.5000 0.5000 0.0000
Se7 0.2800 0.7800 0.2476
Se8 0.5323 0.7200 0.7524
Se9 0.0323 0.5323 0.7524
Se10 0.2200 0.0323 0.7524
Ag1 0.2500 0.7500 0.5000
Ag2 0.7500 0.2500 0.5000
Pu1 0.1572 0.3428 0.0000
Pu2 0.6572 0.1572 0.0000
Pu3 0.8428 0.6572 0.0000
Pu4 0.3428 0.8428 0.0000
Ba1 0.2500 0.2500 0.5000
Ba2 0.7500 0.7500 0.5000

=====

Number 1: Fermi-level density of states 5.5 states/eV per cell, VASP energy -0.260 Ry/atom. Number 2: Fermi-level density of states 12.0 states/eV per cell, VASP energy -0.169 Ry/atom. Number 3: Fermi-level density of states 4.4 states/eV per cell, VASP energy -0.486 Ry/atom. Number 4: Fermi-level density of states 10.0 states/eV per cell, VASP energy -0.422 Ry/atom. Number 5: Fermi-level density of states 20.8 states/eV per cell, VASP energy -0.224 Ry/atom. Number 6: Fermi-level density of states 3.6 states/eV per cell, VASP energy -0.441 Ry/atom. Number 7: Fermi-level density of states 3.6 states/eV per cell, VASP energy -0.129 Ry/atom. Number 8: Fermi-level density of states 7.8 states/eV per cell, VASP energy -0.539 Ry/atom. Number 9: Fermi-level density of states 5.8 states/eV per cell, VASP energy -0.282 Ry/atom. Number 10: Fermi-level density of states 9.4 states/eV per cell, VASP energy -0.411 Ry/atom. Number 11: Fermi-level density of states 9.5 states/eV per cell, VASP energy -0.313 Ry/atom. Number 12: Fermi-level density of states 32.3 states/eV per cell, VASP energy -0.509 Ry/atom.